# 1
A relaxed structure of Ba2SrB2Pt7, computed with GGA-PBE.

The space group is R-3m (No. 166, hexagonal axes) and the conventional cell measures 5.6872, 5.6872 and 23.8541 Å, with angles of 90.00, 90.00 and 120.00 degrees. The inequivalent atoms are Ba at (0.0000, 0.0000, 0.1432), Sr at (0.0000, 0.0000, 0.0000), B at (0.0000, 0.0000, 0.3302), Pt at (0.0000, 0.0000, 0.5000) and Pt at (0.0043, 0.5022, 0.0623).

The value obtained for the volume is 668 Å³/cell. Its crystal system is trigonal. The size of the total moment comes out at 0.010 μB/f.u. As for the calculated density: 13.04 Mg/m³. Its energy is -5.8268 eV per atom.

---

# 2
A relaxed structure of BaPuB, computed with GGA-PBE.

The space group is F-43m (No. 216) and the conventional cell measures 6.813, 6.813 and 6.813 Å, with angles of 90.00, 90.00 and 90.00 degrees. The inequivalent atoms are Ba at (0.000, 0.000, 0.000), Pu at (0.000, 0.000, 0.500) and B at (0.250, 0.250, 0.250).

Its polymorph energy (0 for the lowest one) is 0.0000 eV per atom. The value obtained for the volume is 316 Å³/cell. Its crystal system is cubic. The size of the total moment comes out at 5.230 μB/f.u. As for the calculated density: 8.24 Mg/m³.

---

# 3
A relaxed structure of BaPuB, computed with GGA-PBE.

The space group is F-43m (No. 216) and the conventional cell measures 6.788, 6.788 and 6.788 Å, with angles of 90.00, 90.00 and 90.00 degrees. The inequivalent atoms are Ba at (0.000, 0.000, 0.000), Pu at (0.250, 0.250, 0.250) and B at (0.250, 0.250, 0.750).

Its polymorph energy (0 for the lowest one) is 0.7025 eV per atom. The value obtained for the volume is 313 Å³/cell. Its crystal system is cubic. The size of the total moment comes out at 5.009 μB/f.u. As for the calculated density: 8.33 Mg/m³.

---

# 4
A relaxed structure of BaReB, computed with GGA-PBE.

The space group is F-43m (No. 216) and the conventional cell measures 6.255, 6.255 and 6.255 Å, with angles of 90.00, 90.00 and 90.00 degrees. The inequivalent atoms are Ba at (0.000, 0.000, 0.000), Re at (0.250, 0.250, 0.750) and B at (0.000, 0.000, 0.500).

Its polymorph energy (0 for the lowest one) is 0.5130 eV per atom. The value obtained for the volume is 245 Å³/cell. Its crystal system is cubic. The size of the total moment comes out at 0.003 μB/f.u. As for the calculated density: 9.08 Mg/m³.

---

# 5
A relaxed structure of BaReB, computed with GGA-PBE.

The space group is R3m (No. 160, hexagonal axes) and the conventional cell measures 5.0755, 5.0755 and 9.1232 Å, with angles of 90.00, 90.00 and 120.00 degrees. The inequivalent atoms are Ba at (0.0000, 0.0000, 0.0000), Re at (0.0000, 0.0000, 0.5417) and B at (0.0000, 0.0000, 0.3312).

Its polymorph energy (0 for the lowest one) is 0.0000 eV per atom. The value obtained for the volume is 204 Å³/cell. Its crystal system is trigonal. The size of the total moment comes out at 1.519 μB/f.u. As for the calculated density: 8.18 Mg/m³.

---

# 6
A relaxed structure of BaReB, computed with GGA-PBE.

The space group is F-43m (No. 216) and the conventional cell measures 6.280, 6.280 and 6.280 Å, with angles of 90.00, 90.00 and 90.00 degrees. The inequivalent atoms are Ba at (0.000, 0.000, 0.000), Re at (0.000, 0.000, 0.500) and B at (0.250, 0.250, 0.250).

Its polymorph energy (0 for the lowest one) is 0.3218 eV per atom. The value obtained for the volume is 248 Å³/cell. Its crystal system is cubic. The size of the total moment comes out at 0.984 μB/f.u. As for the calculated density: 8.97 Mg/m³.

---

# 7
A relaxed structure of BaSmB4, computed with GGA-PBE.

The space group is P6/mmm (No. 191) and the conventional cell measures 3.3167, 3.3167 and 8.8930 Å, with angles of 90.00, 90.00 and 120.00 degrees. The inequivalent atoms are Ba at (0.0000, 0.0000, 0.0000), Sm at (0.0000, 0.0000, 0.5000) and B at (0.3333, 0.6667, 0.2783).

Its polymorph energy (0 for the lowest one) is 0.1274 eV per atom. The value obtained for the volume is 85 Å³/cell. Its crystal system is hexagonal. The size of the total moment comes out at 0.008 μB/f.u. As for the calculated density: 6.49 Mg/m³.

---

# 8
A relaxed structure of BaSmB4, computed with GGA-PBE.

The space group is Immm (No. 71) and the conventional cell measures 3.163, 7.867 and 8.044 Å, with angles of 90.00, 90.00 and 90.00 degrees. The inequivalent atoms are Ba at (0.000, 0.000, 0.000), Sm at (0.000, 0.000, 0.500) and B at (0.000, 0.267, 0.248).

Its polymorph energy (0 for the lowest one) is 0.0000 eV per atom. The value obtained for the volume is 200 Å³/cell. Its crystal system is orthorhombic. The size of the total moment comes out at 0.004 μB/f.u. As for the calculated density: 5.49 Mg/m³.

---

# 9
A relaxed structure of BaTaB, computed with GGA-PBE.

The space group is F-43m (No. 216) and the conventional cell measures 6.372, 6.372 and 6.372 Å, with angles of 90.00, 90.00 and 90.00 degrees. The inequivalent atoms are Ba at (0.000, 0.000, 0.000), Ta at (0.000, 0.000, 0.500) and B at (0.250, 0.250, 0.250).

Its polymorph energy (0 for the lowest one) is 0.0000 eV per atom. The value obtained for the volume is 259 Å³/cell. Its crystal system is cubic. The size of the total moment comes out at 0.063 μB/f.u. As for the calculated density: 8.45 Mg/m³.

---

# 10
A relaxed structure of BaTaB, computed with GGA-PBE.

The space group is F-43m (No. 216) and the conventional cell measures 6.801, 6.801 and 6.801 Å, with angles of 90.00, 90.00 and 90.00 degrees. The inequivalent atoms are Ba at (0.000, 0.000, 0.000), Ta at (0.250, 0.250, 0.250) and B at (0.250, 0.250, 0.750).

Its polymorph energy (0 for the lowest one) is 1.2412 eV per atom. The value obtained for the volume is 315 Å³/cell. Its crystal system is cubic. The size of the total moment comes out at 1.985 μB/f.u. As for the calculated density: 6.95 Mg/m³.

---

# 11
A relaxed structure of BaTbB4, computed with GGA-PBE.

The space group is Immm (No. 71) and the conventional cell measures 3.160, 7.785 and 7.980 Å, with angles of 90.00, 90.00 and 90.00 degrees. The inequivalent atoms are Ba at (0.000, 0.000, 0.000), Tb at (0.000, 0.000, 0.500) and B at (0.000, 0.268, 0.248).

Its polymorph energy (0 for the lowest one) is 0.0000 eV per atom. The value obtained for the volume is 196 Å³/cell. Its crystal system is orthorhombic. The size of the total moment comes out at 0.001 μB/f.u. As for the calculated density: 5.74 Mg/m³.

---

# 12
A relaxed structure of BaTbB4, computed with GGA-PBE.

The space group is P6/mmm (No. 191) and the conventional cell measures 3.2992, 3.2992 and 8.7880 Å, with angles of 90.00, 90.00 and 120.00 degrees. The inequivalent atoms are Ba at (0.0000, 0.0000, 0.0000), Tb at (0.0000, 0.0000, 0.5000) and B at (0.3333, 0.6667, 0.2832).

Its polymorph energy (0 for the lowest one) is 0.0359 eV per atom. The value obtained for the volume is 83 Å³/cell. Its crystal system is hexagonal. The size of the total moment comes out at 0.025 μB/f.u. As for the calculated density: 6.81 Mg/m³.